Density functional theory data (PBE) for crystalline Tb3Pm8 at its relaxed geometry.

## Properties
Polymorph energy (0 for the lowest one)   1.31 eV/f.u.
Mass density   7.2 g/cm3
ΔH_f (0 K)   46 kJ per mole of atoms

Unit cell a=7.272 b=7.272 c=7.272 alpha=84.71 beta=84.71 gamma=84.71
Fractional positions:
Tb 0.000 0.500 0.500
Tb 0.500 0.000 0.500
Tb 0.500 0.500 0.000
Pm 0.115 0.693 0.850
Pm 0.150 0.885 0.307
Pm 0.307 0.150 0.885
Pm 0.384 0.384 0.384
Pm 0.616 0.616 0.616
Pm 0.693 0.850 0.115
Pm 0.850 0.115 0.693
Pm 0.885 0.307 0.150

***

Density functional theory data (PBE) for crystalline Tb3Pm2 at its relaxed geometry.

## Properties
Mass density   7.6 g/cm3
ΔH_f (0 K)   13 kJ per mole of atoms

Unit cell a=9.262 b=9.262 c=9.262 alpha=138.14 beta=58.90 gamma=140.50
Fractional positions:
Tb 0.092 0.614 0.707
Tb 0.250 0.250 0.000
Tb 0.408 0.114 0.522
Tb 0.592 0.886 0.478
Tb 0.750 0.750 0.000
Tb 0.908 0.386 0.293
Pm 0.191 0.145 0.336
Pm 0.309 0.645 0.954
Pm 0.691 0.355 0.046
Pm 0.809 0.855 0.664

***

Density functional theory data (PBE) for crystalline Tb3Pm at its relaxed geometry.

## Properties
Polymorph energy (0 for the lowest one)   0.01 eV/f.u.
Mass density   7.8 g/cm3
ΔH_f (0 K)   2 kJ per mole of atoms

Unit cell a=7.276 b=7.276 c=5.741 alpha=90.00 beta=90.00 gamma=120.00
Fractional positions:
Tb 0.166 0.333 0.250
Tb 0.166 0.834 0.250
Tb 0.333 0.166 0.750
Tb 0.667 0.834 0.250
Tb 0.834 0.166 0.750
Tb 0.834 0.667 0.750
Pm 0.333 0.667 0.750
Pm 0.667 0.333 0.250

***

Density functional theory data (PBE) for crystalline Tb3Pm at its relaxed geometry.

## Properties
Polymorph energy (0 for the lowest one)   0.03 eV/f.u.
Mass density   7.8 g/cm3
ΔH_f (0 K)   2 kJ per mole of atoms

Unit cell a=3.651 b=5.729 c=6.314 alpha=90.00 beta=90.00 gamma=90.00
Fractional positions:
Tb 0.000 0.000 0.000
Tb 0.000 0.500 0.333
Tb 0.500 0.500 0.834
Pm 0.500 0.000 0.499

***

Density functional theory data (PBE) for crystalline Tb3Pm at its relaxed geometry.

## Properties
Polymorph energy (0 for the lowest one)   0.00 eV/f.u.
Mass density   7.9 g/cm3
ΔH_f (0 K)   1 kJ per mole of atoms

Unit cell a=6.209 b=6.209 c=6.209 alpha=131.87 beta=131.87 gamma=70.43
Fractional positions:
Tb 0.000 0.000 0.000
Tb 0.250 0.750 0.500
Tb 0.750 0.250 0.500
Pm 0.500 0.500 0.000

***

Density functional theory data (PBE) for crystalline TbPm5 at its relaxed geometry.

## Properties
Mass density   7.2 g/cm3
ΔH_f (0 K)   1 kJ per mole of atoms

Unit cell a=5.145 b=10.890 c=7.272 alpha=90.00 beta=90.00 gamma=90.00
Fractional positions:
Tb 0.250 0.250 0.124
Tb 0.750 0.750 0.876
Pm 0.250 0.250 0.626
Pm 0.250 0.583 0.124
Pm 0.250 0.584 0.626
Pm 0.250 0.916 0.626
Pm 0.250 0.917 0.124
Pm 0.750 0.083 0.876
Pm 0.750 0.084 0.374
Pm 0.750 0.416 0.374
Pm 0.750 0.417 0.876
Pm 0.750 0.750 0.374

***

Density functional theory data (PBE) for crystalline Tb7Pm at its relaxed geometry.

## Properties
Mass density   8.1 g/cm3
ΔH_f (0 K)   1 kJ per mole of atoms

Unit cell a=7.133 b=7.133 c=7.133 alpha=60.00 beta=60.00 gamma=60.00
Fractional positions:
Tb 0.000 0.000 0.000
Tb 0.000 0.000 0.500
Tb 0.000 0.500 0.000
Tb 0.000 0.500 0.500
Tb 0.500 0.000 0.000
Tb 0.500 0.000 0.500
Tb 0.500 0.500 0.000
Pm 0.500 0.500 0.500

***

Density functional theory data (PBE) for crystalline Tb13Pm3 at its relaxed geometry.

## Properties
Polymorph energy (0 for the lowest one)   0.00 eV/f.u.
Mass density   8.0 g/cm3
ΔH_f (0 K)   1 kJ per mole of atoms

Unit cell a=10.101 b=7.161 c=7.161 alpha=89.98 beta=90.00 gamma=90.00
Fractional positions:
Tb 0.000 0.000 0.000
Tb 0.000 0.000 0.498
Tb 0.000 0.498 0.000
Tb 0.000 0.498 0.498
Tb 0.249 0.249 0.249
Tb 0.249 0.249 0.750
Tb 0.249 0.750 0.249
Tb 0.500 0.000 0.000
Tb 0.500 0.000 0.498
Tb 0.500 0.498 0.000
Tb 0.751 0.249 0.249
Tb 0.751 0.249 0.750
Tb 0.751 0.750 0.249
Pm 0.249 0.749 0.749
Pm 0.500 0.498 0.498
Pm 0.751 0.749 0.749

***

Density functional theory data (PBE) for crystalline TbPm3Tc at its relaxed geometry.

## Properties
Polymorph energy (0 for the lowest one)   1.01 eV/f.u.
Mass density   7.0 g/cm3
ΔH_f (0 K)   20 kJ per mole of atoms

Unit cell a=5.484 b=5.484 c=5.484 alpha=90.00 beta=90.00 gamma=90.00
Fractional positions:
Tb 0.000 0.000 0.000
Pm 0.000 0.500 0.500
Pm 0.500 0.000 0.500
Pm 0.500 0.500 0.000
Tc 0.500 0.500 0.500

***

Density functional theory data (PBE) for crystalline Tb2PmTc at its relaxed geometry.

## Properties
Polymorph energy (0 for the lowest one)   0.38 eV/f.u.
Mass density   8.5 g/cm3
ΔH_f (0 K)   3 kJ per mole of atoms

Unit cell a=3.466 b=3.466 c=9.100 alpha=90.00 beta=90.00 gamma=90.00
Fractional positions:
Tb 0.000 0.000 0.182
Tb 0.000 0.000 0.818
Pm 0.500 0.500 0.500
Tc 0.500 0.500 0.000

***

Density functional theory data (PBE) for crystalline Tb3PmTc at its relaxed geometry.

## Properties
Polymorph energy (0 for the lowest one)   0.00 eV/f.u.
Mass density   8.4 g/cm3
ΔH_f (0 K)   -4 kJ per mole of atoms

Unit cell a=8.729 b=3.816 c=8.753 alpha=90.00 beta=101.85 gamma=90.00
Fractional positions:
Tb 0.027 0.250 0.165
Tb 0.340 0.250 0.889
Tb 0.423 0.250 0.317
Tb 0.577 0.750 0.683
Tb 0.660 0.750 0.111
Tb 0.973 0.750 0.835
Pm 0.169 0.750 0.512
Pm 0.831 0.250 0.488
Tc 0.263 0.750 0.100
Tc 0.737 0.250 0.900

***

Density functional theory data (PBE) for crystalline Tb2PmTc at its relaxed geometry.

## Properties
Polymorph energy (0 for the lowest one)   1.33 eV/f.u.
Mass density   8.2 g/cm3
ΔH_f (0 K)   26 kJ per mole of atoms

Unit cell a=11.246 b=11.246 c=11.246 alpha=17.61 beta=17.61 gamma=17.61
Fractional positions:
Tb 0.106 0.106 0.106
Tb 0.894 0.894 0.894
Pm 0.000 0.000 0.000
Tc 0.500 0.500 0.500